HoTm2In3AgPt2 | PBE | relaxed

total magnetic moment = 0.005 μB per formula unit
SG = Amm2
crystal system = orthorhombic
DFT total energy = -4.90 eV per atom

Cell: 3.7252 7.8029 7.8029 Å, 120.03 90.00 90.00°
Closest atoms and distances in Å follow each position.
Positions (direct):
1 Ho 0.0000 0.0000 0.0000  4 Pt 3.01, 2 In 3.12, 1 Ag 3.19
2 Tm 0.0000 0.4093 0.8188  4 Pt 3.01, 2 In 3.12, 1 Ag 3.19
3 Tm 0.0000 0.8188 0.4093  4 Pt 3.01, 2 In 3.12, 1 Ag 3.19
4 In 0.5000 0.1398 0.4095  2 Ag 2.81, 2 Pt 2.88, 2 Tm 3.12
5 In 0.5000 0.4095 0.1398  2 Ag 2.81, 2 Pt 2.88, 2 Tm 3.12
6 In 0.5000 0.6787 0.6787  2 Ag 2.81, 2 Pt 2.88, 2 Ho 3.12
7 Ag 0.0000 0.4095 0.4095  6 In 2.81
8 Pt 0.5000 0.0761 0.7424  3 In 2.88, 4 Tm 3.01, 2 Ho 3.01
9 Pt 0.5000 0.7424 0.0761  3 In 2.88, 4 Tm 3.01, 2 Ho 3.01